First-principles (PBE) data for crystalline Er3NiBi at its relaxed geometry, as listed in Alexandria.

DOS at the Fermi energy = 4.1 states/eV/cell
formation energy = -0.40 eV/atom
uncorrected energy = -25.364 eV for the cell shown
theoretical density = 9.24 g/cm3
size of the total moment = 0.000 μB/cell

Structure (CIF):
```
data_Er3NiBi
_chemical_formula_sum 'Er3 Ni1 Bi1'
_space_group_name_H-M_alt 'P m -3 m'
_space_group_IT_number 221
_space_group_name_Hall '-P 4 2 3'
_cell_length_a 5.1716
_cell_length_b 5.1716
_cell_length_c 5.1716
_cell_angle_alpha 90.00
_cell_angle_beta 90.00
_cell_angle_gamma 90.00
loop_
_atom_site_label
_atom_site_fract_x
_atom_site_fract_y
_atom_site_fract_z
Er1 0.0000 0.0000 0.5000
Ni1 0.0000 0.0000 0.0000
Bi1 0.5000 0.5000 0.5000
```